# Mg30MnCoO32 GGA-PBEsol optimized geometry
# electronic total energy = -6.308 eV/atom
# density = 3.76 Mg/m³
# spin magnetization = 0.0624 μB/atom
# ΔE_f (raw) = -2.605 eV/atom
data_Mg30MnCoO32
_cell_length_a 8.422
_cell_length_b 8.422
_cell_length_c 8.425
_cell_angle_alpha 90.00
_cell_angle_beta 90.00
_cell_angle_gamma 90.00
_symmetry_space_group_name_H-M 'P 4/m m m'
_symmetry_Int_Tables_number 123
_symmetry_space_group_name_Hall '-P 4 2'
loop_
_atom_site_label
_atom_site_fract_x
_atom_site_fract_y
_atom_site_fract_z
Mg1 0.000 0.000 0.000
Mg2 0.000 0.248 0.252
Mg3 0.000 0.500 0.000
Mg4 0.000 0.500 0.500
Mg5 0.248 0.248 0.500
Mg6 0.249 0.249 0.000
Mg7 0.250 0.500 0.251
Mg8 0.500 0.500 0.000
Mn1 0.500 0.500 0.500
Co1 0.000 0.000 0.500
O1 0.000 0.000 0.244
O2 0.000 0.251 0.000
O3 0.000 0.259 0.500
O4 0.000 0.500 0.251
O5 0.250 0.250 0.251
O6 0.252 0.500 0.000
O7 0.259 0.500 0.500
O8 0.500 0.500 0.255



# Re2SiCl GGA-PBEsol optimized geometry
# electronic total energy = -8.095 eV/atom
# density = 11.81 Mg/m³
# spin magnetization = 0.0000 μB/atom
# E above lowest polymorph = 0.000 eV per atom
# ΔE_f (raw) = 0.509 eV/atom
data_Re2SiCl
_cell_length_a 2.768
_cell_length_b 4.191
_cell_length_c 10.566
_cell_angle_alpha 90.00
_cell_angle_beta 90.00
_cell_angle_gamma 90.00
_symmetry_space_group_name_H-M 'I m m m'
_symmetry_Int_Tables_number 71
_symmetry_space_group_name_Hall '-I 2 2'
loop_
_atom_site_label
_atom_site_fract_x
_atom_site_fract_y
_atom_site_fract_z
Re1 0.000 0.000 0.200
Si1 0.000 0.500 0.500
Cl1 0.000 0.500 0.000



# SiTc2Mo GGA-PBEsol optimized geometry
# electronic total energy = -10.299 eV/atom
# density = 9.72 Mg/m³
# spin magnetization = 0.0001 μB/atom
# ΔE_f (raw) = -0.287 eV/atom
data_SiTc2Mo
_cell_length_a 3.023
_cell_length_b 3.023
_cell_length_c 5.985
_cell_angle_alpha 90.00
_cell_angle_beta 90.00
_cell_angle_gamma 90.00
_symmetry_space_group_name_H-M 'P 4/m m m'
_symmetry_Int_Tables_number 123
_symmetry_space_group_name_Hall '-P 4 2'
loop_
_atom_site_label
_atom_site_fract_x
_atom_site_fract_y
_atom_site_fract_z
Si1 0.000 0.000 0.000
Tc1 0.500 0.500 0.237
Mo1 0.000 0.000 0.500



# TlHgSbW2 GGA-PBEsol optimized geometry
# electronic total energy = -4.357 eV/atom
# density = 10.42 Mg/m³
# spin magnetization = 0.9959 μB/atom
# ΔE_f (raw) = 2.717 eV/atom
data_TlHgSbW2
_cell_length_a 5.135
_cell_length_b 5.135
_cell_length_c 5.407
_cell_angle_alpha 90.00
_cell_angle_beta 90.00
_cell_angle_gamma 90.00
_symmetry_space_group_name_H-M 'P 4/m m m'
_symmetry_Int_Tables_number 123
_symmetry_space_group_name_Hall '-P 4 2'
loop_
_atom_site_label
_atom_site_fract_x
_atom_site_fract_y
_atom_site_fract_z
Tl1 0.000 0.000 0.000
Hg1 0.500 0.500 0.500
Sb1 0.000 0.000 0.500
W1 0.000 0.500 0.000



# Cu2IrSe GGA-PBEsol optimized geometry
# electronic total energy = -5.298 eV/atom
# density = 11.94 Mg/m³
# spin magnetization = 0.0005 μB/atom
# ΔE_f (raw) = 0.287 eV/atom
data_Cu2IrSe
_cell_length_a 2.8327
_cell_length_b 2.8327
_cell_length_c 23.9101
_cell_angle_alpha 90.00
_cell_angle_beta 90.00
_cell_angle_gamma 120.00
_symmetry_space_group_name_H-M 'R -3 m'
_symmetry_Int_Tables_number 166
_symmetry_space_group_name_Hall '-R 3 2"'
loop_
_atom_site_label
_atom_site_fract_x
_atom_site_fract_y
_atom_site_fract_z
Cu1 0.0000 0.0000 0.2493
Ir1 0.0000 0.0000 0.0000
Se1 0.0000 0.0000 0.5000



# Te3PPb GGA-PBEsol optimized geometry
# electronic total energy = -3.899 eV/atom
# density = 7.21 Mg/m³
# spin magnetization = 0.0001 μB/atom
# ΔE_f (raw) = 0.175 eV/atom
data_Te3PPb
_cell_length_a 5.230
_cell_length_b 5.230
_cell_length_c 5.230
_cell_angle_alpha 90.00
_cell_angle_beta 90.00
_cell_angle_gamma 90.00
_symmetry_space_group_name_H-M 'P m -3 m'
_symmetry_Int_Tables_number 221
_symmetry_space_group_name_Hall '-P 4 2 3'
loop_
_atom_site_label
_atom_site_fract_x
_atom_site_fract_y
_atom_site_fract_z
Te1 0.000 0.000 0.500
P1 0.000 0.000 0.000
Pb1 0.500 0.500 0.500



# IrSe3F GGA-PBEsol optimized geometry
# electronic total energy = -3.629 eV/atom
# density = 8.56 Mg/m³
# spin magnetization = 0.0009 μB/atom
# ΔE_f (raw) = 1.031 eV/atom
data_IrSe3F
_cell_length_a 4.430
_cell_length_b 4.430
_cell_length_c 4.430
_cell_angle_alpha 90.00
_cell_angle_beta 90.00
_cell_angle_gamma 90.00
_symmetry_space_group_name_H-M 'P m -3 m'
_symmetry_Int_Tables_number 221
_symmetry_space_group_name_Hall '-P 4 2 3'
loop_
_atom_site_label
_atom_site_fract_x
_atom_site_fract_y
_atom_site_fract_z
Ir1 0.000 0.000 0.000
Se1 0.000 0.500 0.500
F1 0.500 0.500 0.500



# ZrTc2Ir GGA-PBEsol optimized geometry
# electronic total energy = -10.501 eV/atom
# density = 12.86 Mg/m³
# spin magnetization = 0.0000 μB/atom
# E above lowest polymorph = 0.039 eV per atom
data_ZrTc2Ir
_cell_length_a 3.968
_cell_length_b 3.987
_cell_length_c 7.823
_cell_angle_alpha 90.00
_cell_angle_beta 90.00
_cell_angle_gamma 90.00
_symmetry_space_group_name_H-M 'I m m 2'
_symmetry_Int_Tables_number 44
loop_
_symmetry_equiv_pos_as_xyz
'x,y,z'
'-x,-y,z'
'-x,y,z'
'x,-y,z'
'x+1/2,y+1/2,z+1/2'
'-x+1/2,-y+1/2,z+1/2'
'-x+1/2,y+1/2,z+1/2'
'x+1/2,-y+1/2,z+1/2'
loop_
_atom_site_label
_atom_site_fract_x
_atom_site_fract_y
_atom_site_fract_z
Zr1 0.000 0.000 0.000
Tc1 0.000 0.000 0.501
Tc2 0.000 0.500 0.250
Ir1 0.000 0.500 0.751



# Sr2LaGePt GGA-PBEsol optimized geometry
# electronic total energy = -4.069 eV/atom
# density = 5.23 Mg/m³
# spin magnetization = 0.0001 μB/atom
data_Sr2LaGePt
_cell_length_a 5.710
_cell_length_b 5.710
_cell_length_c 5.664
_cell_angle_alpha 90.00
_cell_angle_beta 90.00
_cell_angle_gamma 90.00
_symmetry_space_group_name_H-M 'P 4/m m m'
_symmetry_Int_Tables_number 123
_symmetry_space_group_name_Hall '-P 4 2'
loop_
_atom_site_label
_atom_site_fract_x
_atom_site_fract_y
_atom_site_fract_z
Sr1 0.000 0.500 0.000
La1 0.000 0.000 0.500
Ge1 0.000 0.000 0.000
Pt1 0.500 0.500 0.500



# Mg2Cu2Se3 GGA-PBEsol optimized geometry
# electronic total energy = -3.958 eV/atom
# density = 4.19 Mg/m³
# spin magnetization = 0.0000 μB/atom
# ΔE_f (raw) = -0.579 eV/atom
data_Mg2Cu2Se3
_cell_length_a 15.581
_cell_length_b 4.125
_cell_length_c 11.630
_cell_angle_alpha 90.00
_cell_angle_beta 119.03
_cell_angle_gamma 90.00
_symmetry_space_group_name_H-M 'C 1 2/m 1'
_symmetry_Int_Tables_number 12
loop_
_symmetry_equiv_pos_as_xyz
'x,y,z'
'-x,-y,-z'
'-x,y,-z'
'x,-y,z'
'x+1/2,y+1/2,z'
'-x+1/2,-y+1/2,-z'
'-x+1/2,y+1/2,-z'
'x+1/2,-y+1/2,z'
loop_
_atom_site_label
_atom_site_fract_x
_atom_site_fract_y
_atom_site_fract_z
Mg1 0.044 0.000 0.277
Mg2 0.126 0.500 0.672
Cu1 0.165 0.500 0.296
Cu2 0.248 0.500 0.935
Se1 0.076 0.500 0.423
Se2 0.142 0.000 0.835
Se3 0.179 0.000 0.210